The following is a DFT calculation (PBE-GGA) of an optimized crystal structure of Pr9YPb2.

Lattice parameters (Å, degrees): 5.056 5.056 15.575 90.00 90.00 90.00
Fractional positions:
Pr (0.500, 0.500, 0.000)
Pr (0.500, 0.500, 0.338)
Pr (0.500, 0.500, 0.662)
Pr (0.500, 0.000, 0.173)
Pr (0.500, 0.000, 0.500)
Pr (0.500, 0.000, 0.827)
Pr (0.000, 0.500, 0.173)
Pr (0.000, 0.500, 0.500)
Pr (0.000, 0.500, 0.827)
Y (0.000, 0.000, 0.000)
Pb (0.000, 0.000, 0.337)
Pb (0.000, 0.000, 0.663)

Calculated values
For the magnetization, the calculation gives 0.0 μB per formula unit. As for the space-group type: P4/mmm (123). Its calculated total energy is -4.9529 eV/atom. As for the energy relative to the elements: -20 kJ/mol of atoms.